Record 1
TlGeNF2 | GGA-PBEsol | relaxed

Cell: 3.440 4.434 4.434 Å, 90.00 90.00 90.00°
Element x y z (fractional)
Tl  0.500  0.500  0.500
Ge  0.000  0.000  0.000
N  0.500  0.000  0.000
F  0.000  0.500  0.000
F  0.000  0.000  0.500

Values from the calculation:
* M_tot: 0.00 μB per cell
* electronic total energy: -4.92 eV/atom
* V: 67.6 Å³/cell
* calculated density: 8.1 Mg/m³
* ΔE_f (raw): -0.928 eV per atom
* symmetry: P4/mmm (123)

***

Record 2
Na3GeF | GGA-PBEsol | relaxed

Cell: 4.605 4.605 4.605 Å, 90.00 90.00 90.00°
Element x y z (fractional)
Na  0.000  0.000  0.500
Na  0.500  0.000  0.000
F  0.000  0.000  0.000
Ge  0.500  0.500  0.500
Na  0.000  0.500  0.000

Values from the calculation:
* M_tot: 0.00 μB per cell
* electronic total energy: -3.19 eV/atom
* V: 97.7 Å³/cell
* calculated density: 2.7 Mg/m³
* ΔE_f (raw): -0.974 eV per atom
* symmetry: Pm-3m (221)

***

Record 3
NaZnGe2F | GGA-PBEsol | relaxed

Cell: 4.573 4.573 4.661 Å, 90.00 90.00 90.00°
Element x y z (fractional)
Zn  0.000  0.000  0.500
Ge  0.000  0.500  0.000
F  0.000  0.000  0.000
Na  0.500  0.500  0.500
Ge  0.500  0.000  0.000

Values from the calculation:
* M_tot: 0.00 μB per cell
* electronic total energy: -3.06 eV/atom
* V: 97.5 Å³/cell
* calculated density: 4.3 Mg/m³
* ΔE_f (raw): -0.104 eV per atom
* symmetry: P4/mmm (123)

***

Record 4
ScNbGe2F | GGA-PBEsol | relaxed

Cell: 4.878 4.878 5.066 Å, 90.00 90.00 90.00°
Element x y z (fractional)
F  0.500  0.500  0.500
Ge  0.000  0.500  0.000
Ge  0.500  0.000  0.000
Nb  0.000  0.000  0.000
Sc  0.000  0.000  0.500

Values from the calculation:
* M_tot: 0.00 μB per cell
* electronic total energy: -5.76 eV/atom
* V: 120.5 Å³/cell
* calculated density: 4.2 Mg/m³
* ΔE_f (raw): 0.091 eV per atom
* symmetry: P4/mmm (123)